Tb2Er6S3 | PBE-GGA | optimized geometry

Cell and atoms, written as extended XYZ:
```
11
Lattice="-1.058 -3.300 1.298 2.105 -1.778 2.470 -11.607 9.244 19.319" Properties=species:S:1:pos:R:3 pbc="T T T"
Tb -7.364 3.990 14.692
Tb -3.196 0.176 8.394
Er -9.133 6.982 15.582
Er -1.427 -2.816 7.505
Er -4.946 3.151 9.256
Er -5.614 1.015 13.831
Er -10.419 6.784 19.307
Er -0.142 -2.618 3.780
S 0.000 0.000 0.000
S -1.288 -0.196 3.728
S -9.273 4.362 19.358
```

## Properties
ρ in Mg/m³: 8.18
SG: No. 166
Formation energy from raw total energies in eV per formula unit: -11.30
E_tot in eV/atom: -5.483



Sr2CuH | PBE-GGA | optimized geometry

Cell and atoms, written as extended XYZ:
```
4
Lattice="4.161 0.000 0.000 2.080 3.604 0.000 2.080 1.201 7.014" Properties=species:S:1:pos:R:3 pbc="T T T"
Sr 2.080 1.201 1.907
Sr 6.241 3.604 5.107
Cu 0.000 0.000 0.000
H 4.161 2.402 3.507
```

## Properties
ρ in Mg/m³: 3.79
SG: No. 166
E_tot in eV/atom: -2.770



Ni3Pb | PBE-GGA | optimized geometry

Cell and atoms, written as extended XYZ:
```
4
Lattice="4.905 0.000 0.000 -2.166 4.401 0.000 -2.166 -3.479 2.696" Properties=species:S:1:pos:R:3 pbc="T T T"
Ni 0.000 0.000 0.000
Ni 1.370 -1.739 1.348
Ni 1.370 2.201 0.000
Pb -2.166 0.461 1.348
```

## Properties
ρ in Mg/m³: 10.93
SG: No. 166
E_tot in eV/atom: -4.855



ScNb3Co | PBE-GGA | optimized geometry

Cell and atoms, written as extended XYZ:
```
5
Lattice="4.661 0.000 0.000 0.000 4.661 0.000 0.000 0.000 4.661" Properties=species:S:1:pos:R:3 pbc="T T T"
Sc 2.330 2.330 2.330
Nb 0.000 2.330 0.000
Nb 0.000 0.000 2.330
Nb 2.330 0.000 0.000
Co 0.000 0.000 0.000
```

## Properties
ρ in Mg/m³: 6.28
SG: No. 221
E_tot in eV/atom: -8.205



NbPdPt3 | PBE-GGA | optimized geometry

Cell and atoms, written as extended XYZ:
```
5
Lattice="-4.829 2.246 0.595 -4.050 -1.472 -3.185 -4.057 -2.853 1.970" Properties=species:S:1:pos:R:3 pbc="T T T"
Nb -6.551 -1.273 -0.098
Pd -8.962 0.541 -2.378
Pt -8.576 -2.008 -1.690
Pt -8.965 -0.150 0.200
Pt -10.990 -0.885 -1.393
```

## Properties
ρ in Mg/m³: 12.05
SG: No. 166
E_tot in eV/atom: -6.368



HfCoSn3 | PBE-GGA | optimized geometry

Cell and atoms, written as extended XYZ:
```
5
Lattice="-4.405 0.535 -2.047 -1.915 -3.018 3.333 -0.899 3.807 2.930" Properties=species:S:1:pos:R:3 pbc="T T T"
Co 0.000 0.000 0.000
Hf -3.610 0.662 2.108
Sn -0.958 -1.509 1.666
Sn -0.449 1.903 1.465
Sn -2.203 0.268 -1.023
```

## Properties
ρ in Mg/m³: 8.44
SG: No. 221
E_tot in eV/atom: -5.391



Rb8Au2Br | PBE-GGA | optimized geometry

Cell and atoms, written as extended XYZ:
```
11
Lattice="8.668 0.016 -0.018 0.026 8.647 -5.015 -0.019 -0.020 10.001" Properties=species:S:1:pos:R:3 pbc="T T T"
Rb 2.931 5.784 -0.040
Rb 5.744 2.860 5.009
Rb 6.601 7.238 -2.597
Rb 2.112 1.412 2.414
Rb 2.121 5.835 4.954
Rb 2.074 1.405 7.565
Rb 6.564 7.231 2.554
Rb 6.555 2.808 0.014
Au 0.470 2.883 4.980
Au 8.205 5.760 -0.012
Br -0.019 -0.020 10.001
```

## Properties
ρ in Mg/m³: 2.57
SG: No. 2
Formation energy from raw total energies in eV per formula unit: -3.81
E_tot in eV/atom: -1.798



Y8Ho4Er | PBE-GGA | optimized geometry

Cell and atoms, written as extended XYZ:
```
13
Lattice="-4.474 -2.253 5.258 6.109 -3.673 -1.391 5.461 7.936 3.032" Properties=species:S:1:pos:R:3 pbc="T T T"
Y 4.190 -1.343 2.990
Y 2.906 3.354 3.909
Y 0.921 0.324 3.189
Y 0.806 2.681 6.849
Y 6.176 1.687 3.710
Y 4.153 0.669 6.087
Y 2.943 1.342 0.812
Y 6.290 -0.670 0.050
Ho 0.000 0.000 0.000
Ho 3.054 -1.836 -0.695
Ho 0.817 -2.963 1.934
Ho -2.237 -1.126 2.629
Er 5.785 2.132 0.820
```

## Properties
ρ in Mg/m³: 6.09
SG: No. 166
E_tot in eV/atom: -5.516



KCa2As | PBE-GGA | optimized geometry

Cell and atoms, written as extended XYZ:
```
4
Lattice="-2.860 -0.086 -2.989 1.917 -3.421 -1.736 -4.128 -7.105 4.154" Properties=species:S:1:pos:R:3 pbc="T T T"
As -4.035 -7.921 1.225
Ca -1.842 -9.796 2.045
Ca -1.522 -2.528 -1.335
K -0.987 -6.157 1.121
```

## Properties
ρ in Mg/m³: 2.03
SG: No. 38
E_tot in eV/atom: -2.953



Zr2FeOs | PBE-GGA | optimized geometry

Cell and atoms, written as extended XYZ:
```
4
Lattice="4.040 -1.306 1.726 0.215 -3.541 2.902 1.896 -3.951 -1.342" Properties=species:S:1:pos:R:3 pbc="T T T"
Os 3.076 -4.399 1.643
Fe 0.000 0.000 0.000
Zr 1.538 -2.200 0.822
Zr 4.614 -6.599 2.465
```

## Properties
ρ in Mg/m³: 10.45
SG: No. 225
E_tot in eV/atom: -9.557



NaPr2Sn | PBE-GGA | optimized geometry

Cell and atoms, written as extended XYZ:
```
4
Lattice="-0.895 -1.077 -3.265 1.626 -2.805 -1.453 -8.498 -8.901 3.333" Properties=species:S:1:pos:R:3 pbc="T T T"
Pr -5.983 -6.713 1.922
Pr -1.785 -6.071 -3.307
Na 0.000 0.000 0.000
Sn -3.884 -6.392 -0.692
```

## Properties
ρ in Mg/m³: 5.11
SG: No. 166
E_tot in eV/atom: -3.771



PrSm2Th3 | PBE-GGA | optimized geometry

Cell and atoms, written as extended XYZ:
```
12
Lattice="4.934 0.000 1.217 2.019 7.412 2.425 -0.072 -0.042 10.903" Properties=species:S:1:pos:R:3 pbc="T T T"
Pr 2.344 6.468 11.721
Pr 4.538 0.902 2.824
Sm 2.645 1.546 10.500
Sm 4.237 5.824 4.045
Sm 1.919 3.377 2.831
Sm 4.963 3.994 11.714
Th 5.401 7.091 9.938
Th 0.764 2.155 7.514
Th 3.083 4.619 8.723
Th 3.798 2.751 5.822
Th 6.117 5.215 7.032
Th 1.481 0.279 4.608
```

## Properties
ρ in Mg/m³: 9.45
SG: No. 12
E_tot in eV/atom: -6.051



LiTcNi | PBE-GGA | optimized geometry

Cell and atoms, written as extended XYZ:
```
6
Lattice="-3.718 -6.951 -0.234 3.084 -1.588 -1.832 1.207 -0.245 2.245" Properties=species:S:1:pos:R:3 pbc="T T T"
Ni 0.302 -2.184 0.302
Ni 0.271 -6.600 -0.123
Tc -2.391 -6.781 -0.247
Tc 2.964 -2.003 0.426
Li -1.109 -4.466 -0.096
Li 1.682 -4.318 0.275
```

## Properties
ρ in Mg/m³: 6.95
SG: No. 11
E_tot in eV/atom: -5.919